Entry 1:
Density functional theory data (meta-GGA SCAN) for BaCaAu3 at its PBEsol-relaxed geometry.

Cell: 5.733 5.733 5.733 Å, 90.00 90.00 90.00°
Element x y z (fractional)
Ba 0.000 0.000 0.000
Ca 0.500 0.500 0.500
Au 0.000 0.000 0.500
Au 0.000 0.500 0.000
Au 0.500 0.000 0.000

Values from the calculation:
* E_form: 1.66 kcal/mol of atoms
* density: 6.8 g/cm³
* symmetry: No. 221



Entry 2:
Density functional theory data (meta-GGA SCAN) for BaCaAu2 at its PBEsol-relaxed geometry.

Cell: 3.700 5.361 5.357 Å, 90.00 90.00 90.00°
Element x y z (fractional)
Ba 0.000 0.000 0.000
Ca 0.000 0.500 0.500
Au 0.500 0.000 0.500
Au 0.500 0.500 0.001

Values from the calculation:
* E_form: -18.97 kcal/mol of atoms
* density: 8.9 g/cm³
* symmetry: No. 25



Entry 3:
Density functional theory data (meta-GGA SCAN) for Ba2CaAu at its PBEsol-relaxed geometry.

Cell: 3.892 3.892 10.167 Å, 90.00 90.00 90.00°
Element x y z (fractional)
Ba 0.000 0.000 0.000
Ba 0.500 0.500 0.351
Ca 0.000 0.000 0.658
Au 0.500 0.500 0.801

Values from the calculation:
* E_form: -10.16 kcal/mol of atoms
* density: 5.5 g/cm³
* symmetry: No. 99



Entry 4:
Density functional theory data (meta-GGA SCAN) for Ba2CaAu at its PBEsol-relaxed geometry.

Cell: 3.983 3.983 10.082 Å, 90.00 90.00 90.00°
Element x y z (fractional)
Ba 0.000 0.000 0.184
Ba 0.000 0.000 0.816
Ca 0.500 0.500 0.500
Au 0.500 0.500 0.000

Values from the calculation:
* E_form: -10.04 kcal/mol of atoms
* density: 5.3 g/cm³
* symmetry: No. 123



Entry 5:
Density functional theory data (meta-GGA SCAN) for Ba2CaAu at its PBEsol-relaxed geometry.

Cell: 4.454 4.454 31.994 Å, 90.00 90.00 120.00°
Element x y z (fractional)
Ba 0.000 0.000 0.226
Ba 0.000 0.000 0.774
Ba 0.333 0.667 0.441
Ba 0.333 0.667 0.892
Ba 0.667 0.333 0.108
Ba 0.667 0.333 0.559
Ca 0.000 0.000 0.000
Ca 0.333 0.667 0.667
Ca 0.667 0.333 0.333
Au 0.000 0.000 0.500
Au 0.333 0.667 0.167
Au 0.667 0.333 0.833

Values from the calculation:
* E_form: -8.86 kcal/mol of atoms
* density: 4.6 g/cm³
* symmetry: No. 166



Entry 6:
Density functional theory data (meta-GGA SCAN) for Ba2CaAu at its PBEsol-relaxed geometry.

Cell: 3.980 6.016 13.041 Å, 90.00 90.00 90.00°
Element x y z (fractional)
Ba 0.000 0.000 0.000
Ba 0.000 0.500 0.185
Ba 0.500 0.000 0.685
Ba 0.500 0.500 0.500
Ca 0.000 0.500 0.819
Ca 0.500 0.000 0.319
Au 0.000 0.000 0.487
Au 0.500 0.500 0.987

Values from the calculation:
* E_form: -9.99 kcal/mol of atoms
* density: 5.4 g/cm³
* symmetry: No. 44



Entry 7:
Density functional theory data (meta-GGA SCAN) for BaCaAu2 at its PBEsol-relaxed geometry.

Cell: 4.642 4.230 11.635 Å, 90.00 90.00 90.00°
Element x y z (fractional)
Ba 0.000 0.000 0.000
Ba 0.000 0.500 0.500
Ca 0.500 0.000 0.723
Ca 0.500 0.500 0.223
Au 0.000 0.000 0.276
Au 0.000 0.500 0.776
Au 0.500 0.000 0.425
Au 0.500 0.500 0.925

Values from the calculation:
* E_form: -19.95 kcal/mol of atoms
* density: 8.3 g/cm³
* symmetry: No. 38



Entry 8:
Density functional theory data (meta-GGA SCAN) for BaCaAu2 at its PBEsol-relaxed geometry.

Cell: 3.754 3.754 7.453 Å, 90.00 90.00 90.00°
Element x y z (fractional)
Ba 0.000 0.000 0.000
Ca 0.000 0.000 0.500
Au 0.500 0.500 0.293
Au 0.500 0.500 0.707

Values from the calculation:
* E_form: -20.30 kcal/mol of atoms
* density: 9.0 g/cm³
* symmetry: No. 123